Computed, not measured: a relaxed ScSi2Os crystal at the GGA-PBE level of DFT.

Unit cell a=7.841 b=3.063 c=5.457 alpha=90.00 beta=100.59 gamma=90.00
Space group C2/m (No. 12)
Symmetry-distinct sites (fractional):
Sc 0.000 0.000 0.000 [2 per cell]
Si 0.237 0.000 0.688 [4 per cell]
Os 0.000 0.500 0.500 [2 per cell]

## Properties
The total DFT energy (no corrections) comes out at -7.58 eV/atom. The volume comes out at 16.1 Å³/atom. The formation energy from raw total energies comes out at -0.478 eV per atom.